A plane-wave DFT calculation with GGA-PBE was carried out for an optimized crystal structure of PuThTlAu.

a b c (Å): 3.4232 3.4232 8.9840
angles (deg): 90.00 90.00 90.00
Atoms (fractional coordinates):
Pu (0.0000, 0.0000, 0.0000)
Th (0.0000, 0.0000, 0.4590)
Tl (0.5000, 0.5000, 0.7350)
Au (0.5000, 0.5000, 0.2301)

Summary:
The calculation puts the density of states at the Fermi level at 9.1 states/eV/cell. As for the magnetic moment: 5.86 μB per formula unit. The total energy comes out at -7.129 eV per atom. For the excess energy over the best structure of this formula in the dataset, the calculation gives 0.00 eV/f.u. The calculation puts the formation enthalpy at 0 K at -0.280 eV per atom.